Record 1
{
  "formula": "CsTaTeS6",
  "functional": "PBE",
  "state": "relaxed",
  "raw_formation_energy_mev_per_atom": -488,
  "dos_at_fermi_per_ev_cell": 5.6,
  "crystal_system": "trigonal",
  "space_group": "P312, No. 149",
  "volume_a3_per_cell": 294.17,
  "lattice_angstrom": [[6.4853, 0.0000, 0.0000], [-3.2426, 5.6164, 0.0000], [0.0000, 0.0000, 8.0762]],
  "species": ["Cs", "Ta", "Te", "S", "S", "S", "S", "S", "S"],
  "fractional_positions": [[0.0000, 0.0000, 0.0000], [0.6667, 0.3333, 0.5000], [0.3333, 0.6667, 0.5000], [0.3954, 0.0103, 0.3182], [0.3954, 0.3851, 0.6818], [0.6149, 0.0103, 0.6818], [0.6149, 0.6046, 0.3182], [0.9897, 0.3851, 0.3182], [0.9897, 0.6046, 0.6818]]
}

Record 2
{
  "formula": "Sn6Se5Br",
  "functional": "PBE",
  "state": "relaxed",
  "raw_formation_energy_mev_per_atom": -398,
  "dos_at_fermi_per_ev_cell": 3.3,
  "crystal_system": "monoclinic",
  "space_group": "C2/m, No. 12",
  "volume_a3_per_cell": 345.02,
  "lattice_angstrom": [[3.6953, -6.6017, 0.0000], [3.6953, 6.6017, 0.0000], [-2.6116, 0.0000, 7.0715]],
  "species": ["Sn", "Sn", "Sn", "Sn", "Sn", "Sn", "Se", "Se", "Se", "Se", "Se", "Br"],
  "fractional_positions": [[0.0596, 0.4124, 0.7401], [0.2303, 0.2303, 0.2538], [0.4124, 0.0596, 0.7401], [0.5876, 0.9404, 0.2599], [0.7697, 0.7697, 0.7462], [0.9404, 0.5876, 0.2599], [0.0000, 0.0000, 0.5000], [0.1646, 0.8354, 0.0000], [0.3332, 0.6668, 0.5000], [0.6668, 0.3332, 0.5000], [0.8354, 0.1646, 0.0000], [0.5000, 0.5000, 0.0000]]
}

Record 3
{
  "formula": "NaBrO",
  "functional": "PBE",
  "state": "relaxed",
  "raw_formation_energy_mev_per_atom": -802,
  "dos_at_fermi_per_ev_cell": 0.0,
  "crystal_system": "orthorhombic",
  "space_group": "Pnma, No. 62",
  "polymorph_energy_mev_per_atom": 157,
  "volume_a3_per_cell": 253.14,
  "lattice_angstrom": [[7.8207, 0.0000, 0.0000], [0.0000, 7.0316, 0.0000], [0.0000, 0.0000, 4.6031]],
  "species": ["Na", "Na", "Na", "Na", "Br", "Br", "Br", "Br", "O", "O", "O", "O"],
  "fractional_positions": [[0.1469, 0.2500, 0.0084], [0.3531, 0.7500, 0.5084], [0.6469, 0.2500, 0.4916], [0.8531, 0.7500, 0.9916], [0.0000, 0.0000, 0.5000], [0.0000, 0.5000, 0.5000], [0.5000, 0.0000, 0.0000], [0.5000, 0.5000, 0.0000], [0.0861, 0.7500, 0.2994], [0.4139, 0.2500, 0.7994], [0.5861, 0.7500, 0.2006], [0.9139, 0.2500, 0.7006]]
}

Record 4
{
  "formula": "Ca2ScMnW",
  "functional": "PBE",
  "state": "relaxed",
  "dos_at_fermi_per_ev_cell": 6.1,
  "crystal_system": "tetragonal",
  "space_group": "P4/mmm, No. 123",
  "ef_kj_per_mol_atoms": 91.1,
  "volume_a3_per_cell": 127.85,
  "lattice_angstrom": [[5.3489, 0.0000, 0.0000], [0.0000, 5.3489, 0.0000], [0.0000, 0.0000, 4.4686]],
  "species": ["Ca", "Ca", "Sc", "Mn", "W"],
  "fractional_positions": [[0.0000, 0.5000, 0.0000], [0.5000, 0.0000, 0.0000], [0.0000, 0.0000, 0.5000], [0.5000, 0.5000, 0.0000], [0.5000, 0.5000, 0.5000]]
}

Record 5
{
  "formula": "NaMg5Pb2",
  "functional": "PBE",
  "state": "relaxed",
  "dos_at_fermi_per_ev_cell": 2.6,
  "crystal_system": "monoclinic",
  "space_group": "C2/m, No. 12",
  "polymorph_energy_mev_per_atom": 0,
  "ef_kj_per_mol_atoms": -5.8,
  "volume_a3_per_cell": 207.22,
  "lattice_angstrom": [[6.3103, -4.7128, 0.0000], [6.3103, 4.7128, 0.0000], [-1.0213, 0.0000, 3.4839]],
  "species": ["Na", "Mg", "Mg", "Mg", "Mg", "Mg", "Pb", "Pb"],
  "fractional_positions": [[0.0000, 0.0000, 0.0000], [0.1608, 0.5777, 0.3712], [0.4223, 0.8392, 0.6288], [0.5000, 0.5000, 0.0000], [0.5777, 0.1608, 0.3712], [0.8392, 0.4223, 0.6288], [0.2339, 0.2339, 0.7378], [0.7661, 0.7661, 0.2622]]
}

Record 6
{
  "formula": "AlNi2Pt8",
  "functional": "PBE",
  "state": "relaxed",
  "dos_at_fermi_per_ev_cell": 15.2,
  "crystal_system": "orthorhombic",
  "space_group": "Cmmm, No. 65",
  "polymorph_energy_mev_per_atom": 61,
  "ef_kj_per_mol_atoms": -7.9,
  "volume_a3_per_cell": 173.93,
  "lattice_angstrom": [[2.7085, -3.8758, 0.0000], [2.7085, 3.8758, 0.0000], [0.0000, 0.0000, 8.2840]],
  "species": ["Al", "Ni", "Ni", "Pt", "Pt", "Pt", "Pt", "Pt", "Pt", "Pt", "Pt"],
  "fractional_positions": [[0.0000, 0.0000, 0.0000], [0.2561, 0.7439, 0.5000], [0.7439, 0.2561, 0.5000], [0.2453, 0.2453, 0.3385], [0.2453, 0.2453, 0.6615], [0.2631, 0.7369, 0.1627], [0.2631, 0.7369, 0.8373], [0.7369, 0.2631, 0.1627], [0.7369, 0.2631, 0.8373], [0.7547, 0.7547, 0.3385], [0.7547, 0.7547, 0.6615]]
}

- Which formula does entry 3 have?
  NaBrO

Repeat the third record exactly.
{
  "formula": "NaBrO",
  "functional": "PBE",
  "state": "relaxed",
  "raw_formation_energy_mev_per_atom": -802,
  "dos_at_fermi_per_ev_cell": 0.0,
  "crystal_system": "orthorhombic",
  "space_group": "Pnma, No. 62",
  "polymorph_energy_mev_per_atom": 157,
  "volume_a3_per_cell": 253.14,
  "lattice_angstrom": [[7.8207, 0.0000, 0.0000], [0.0000, 7.0316, 0.0000], [0.0000, 0.0000, 4.6031]],
  "species": ["Na", "Na", "Na", "Na", "Br", "Br", "Br", "Br", "O", "O", "O", "O"],
  "fractional_positions": [[0.1469, 0.2500, 0.0084], [0.3531, 0.7500, 0.5084], [0.6469, 0.2500, 0.4916], [0.8531, 0.7500, 0.9916], [0.0000, 0.0000, 0.5000], [0.0000, 0.5000, 0.5000], [0.5000, 0.0000, 0.0000], [0.5000, 0.5000, 0.0000], [0.0861, 0.7500, 0.2994], [0.4139, 0.2500, 0.7994], [0.5861, 0.7500, 0.2006], [0.9139, 0.2500, 0.7006]]
}